i | Below is an optimized crystal structure of RbTc, with properties calculated at the GGA-PBE level. Values from VASP.

Quantum ESPRESSO input file:
```
&SYSTEM
  ibrav = 0, nat = 4, ntyp = 2
/
ATOMIC_SPECIES
Rb 85.47 Rb.upf
Tc 98.00 Tc.upf
ATOMIC_POSITIONS angstrom
Rb 0.000 1.689 5.136
Rb 1.463 0.845 11.379
Tc 0.000 1.689 8.373
Tc 1.463 0.845 2.130
CELL_PARAMETERS angstrom
2.926 0.000 0.000
-1.463 2.534 0.000
0.000 0.000 12.485
```

- D(E_F): 2.666 states/eV/f.u.
- Calculated volume: 46 Å³/f.u.

ii | Below is an optimized crystal structure of RbTc, with properties calculated at the GGA-PBE level. Values from VASP.

Quantum ESPRESSO input file:
```
&SYSTEM
  ibrav = 0, nat = 4, ntyp = 2
/
ATOMIC_SPECIES
Rb 85.47 Rb.upf
Tc 98.00 Tc.upf
ATOMIC_POSITIONS angstrom
Rb 0.141 3.328 1.773
Rb 2.323 2.622 0.156
Tc 0.000 0.000 0.000
Tc 1.051 0.044 2.601
CELL_PARAMETERS angstrom
-1.130 0.750 4.218
3.233 -0.661 0.984
1.412 5.906 -0.671
```

- D(E_F): 2.225 states/eV/f.u.
- Calculated volume: 47 Å³/f.u.

iii | Below is an optimized crystal structure of RbTc, with properties calculated at the GGA-PBE level. Values from VASP.

Quantum ESPRESSO input file:
```
&SYSTEM
  ibrav = 0, nat = 12, ntyp = 2
/
ATOMIC_SPECIES
Rb 85.47 Rb.upf
Tc 98.00 Tc.upf
ATOMIC_POSITIONS angstrom
Rb -7.104 11.800 -1.793
Rb -3.129 10.664 -3.031
Rb -6.632 3.057 -0.105
Rb -2.772 4.059 -1.756
Rb -1.171 -0.336 -1.415
Rb -5.485 7.416 -1.403
Tc -4.178 14.061 -1.573
Tc -8.911 8.441 -2.256
Tc -3.492 1.356 0.879
Tc -8.768 5.798 -1.746
Tc -4.996 -0.284 -0.075
Tc -1.431 7.361 -2.822
CELL_PARAMETERS angstrom
-0.829 15.349 -2.962
-1.097 -0.663 -3.127
-7.885 0.104 2.744
```

- D(E_F): 1.489 states/eV/f.u.
- Calculated volume: 74 Å³/f.u.

iv | Below is an optimized crystal structure of RbTc, with properties calculated at the GGA-PBE level. Values from VASP.

Quantum ESPRESSO input file:
```
&SYSTEM
  ibrav = 0, nat = 16, ntyp = 2
/
ATOMIC_SPECIES
Rb 85.47 Rb.upf
Tc 98.00 Tc.upf
ATOMIC_POSITIONS angstrom
Rb -5.279 -5.293 2.267
Rb -11.533 -2.637 4.795
Rb -9.613 -7.337 4.088
Rb -7.199 -0.593 2.974
Rb -8.294 3.853 5.359
Rb -2.419 1.358 2.985
Rb -0.499 -3.342 2.278
Rb -2.766 -9.678 3.324
Tc -13.156 -6.206 5.526
Tc -10.510 1.186 4.306
Tc -6.301 -9.116 2.756
Tc -3.656 -1.724 1.536
Tc -4.042 -2.210 3.716
Tc -6.078 -7.899 4.655
Tc -9.317 0.030 5.848
Tc -11.353 -5.659 6.787
CELL_PARAMETERS angstrom
-12.130 5.151 4.902
-4.682 -13.081 2.160
1.417 0.061 3.442
```

- D(E_F): 2.053 states/eV/f.u.
- Calculated volume: 92 Å³/f.u.

iii (108 meV/atom below the next structure)